Rb4Au2O: optimized geometry, GGA-PBE.

a = 5.3598 Å, b = 5.3598 Å, c = 10.5616 Å
α = 75.30°, β = 75.30°, γ = 90.00°
Closest atoms and distances in Å follow each position.
Sites, in units of the cell vectors:
1 Au 0.8711 0.8711 0.2579  1 O 2.54
2 Au 0.1289 0.1289 0.7421  1 O 2.54
3 O 0.0000 0.0000 0.0000  2 Au 2.54, 4 Rb 2.68
4 Rb 0.6922 0.6922 0.6155  1 Au 3.53
5 Rb 0.3078 0.3078 0.3845  1 Au 3.53
6 Rb 0.0000 0.5000 0.0000  2 O 2.68
7 Rb 0.5000 0.0000 0.0000  2 O 2.68

Computed properties:
SG = I4/mmm
Raw total energy = -17.893 eV per cell
Energy above the most stable polymorph in this dataset = 218.7 meV/atom
Energy relative to the elements, uncorrected = -0.3585 eV per atom

Sc3Si5Ir6: optimized geometry, GGA-PBE.

a = 4.0034 Å, b = 8.7854 Å, c = 12.2235 Å
α = 90.00°, β = 90.00°, γ = 90.00°
Closest atoms and distances in Å follow each position.
Sites, in units of the cell vectors:
1 Sc 0.0000 0.2429 0.6978  6 Ir 2.71-2.88, 4 Si 2.83-2.93
2 Sc 0.5000 0.7571 0.1978  6 Ir 2.71-2.88, 4 Si 2.83-2.93
3 Sc 0.5000 0.7571 0.8022  6 Ir 2.71-2.88, 4 Si 2.83-2.93
4 Sc 0.0000 0.2577 0.0000  6 Si 2.88-2.94, 2 Ir 3.10
5 Sc 0.5000 0.7423 0.5000  6 Si 2.88-2.94, 2 Ir 3.10
6 Sc 0.0000 0.2429 0.3022  6 Ir 2.71-2.88, 4 Si 2.83-2.93
7 Si 0.0000 0.5389 0.8792  5 Ir 2.42-2.58
8 Si 0.0000 0.8586 0.6552  5 Ir 2.37-2.49
9 Si 0.0000 0.8092 0.0000  6 Ir 2.45-2.62
10 Si 0.5000 0.4611 0.6208  5 Ir 2.42-2.58
11 Si 0.5000 0.1908 0.5000  6 Ir 2.45-2.62
12 Si 0.0000 0.5389 0.1208  5 Ir 2.42-2.58
13 Si 0.5000 0.4611 0.3792  5 Ir 2.42-2.58
14 Si 0.0000 0.8586 0.3448  5 Ir 2.37-2.49
15 Si 0.5000 0.1414 0.8448  5 Ir 2.37-2.49
16 Si 0.5000 0.1414 0.1552  5 Ir 2.37-2.49
17 Ir 0.0000 0.9882 0.8364  4 Si 2.41-2.54
18 Ir 0.5000 0.0118 0.6636  4 Si 2.41-2.54
19 Ir 0.5000 0.4079 0.8154  4 Si 2.37-2.44
20 Ir 0.5000 0.6166 0.0000  6 Si 2.58-2.62, 2 Sc 2.71
21 Ir 0.0000 0.3834 0.5000  6 Si 2.58-2.62, 2 Sc 2.71
22 Ir 0.0000 0.5921 0.6846  4 Si 2.37-2.44
23 Ir 0.0000 0.5921 0.3154  4 Si 2.37-2.44
24 Ir 0.5000 0.9699 0.0000  4 Si 2.42-2.45
25 Ir 0.0000 0.9882 0.1636  4 Si 2.41-2.54
26 Ir 0.5000 0.4079 0.1846  4 Si 2.37-2.44
27 Ir 0.0000 0.0301 0.5000  4 Si 2.42-2.45
28 Ir 0.5000 0.0118 0.3364  4 Si 2.41-2.54

Computed properties:
SG = Pmmn
Raw total energy = -226.131 eV per cell
Energy relative to the elements, uncorrected = -0.9850 eV per atom

CeLuPuSc: optimized geometry, GGA-PBE.

a = 5.3645 Å, b = 5.3645 Å, c = 5.3645 Å
α = 60.00°, β = 60.00°, γ = 60.00°
Closest atoms and distances in Å follow each position.
Sites, in units of the cell vectors:
1 Sc 0.5000 0.5000 0.5000  4 Lu 3.29, 4 Pu 3.29
2 Lu 0.2500 0.2500 0.2500  4 Ce 3.29, 4 Sc 3.29
3 Ce 0.0000 0.0000 0.0000  4 Pu 3.29, 4 Lu 3.29
4 Pu 0.7500 0.7500 0.7500  4 Ce 3.29, 4 Sc 3.29

Computed properties:
SG = F-43m
Raw total energy = -30.505 eV per cell

NpZn2Ga4Cu: optimized geometry, GGA-PBE.

a = 4.4131 Å, b = 4.4131 Å, c = 8.7658 Å
α = 75.42°, β = 75.42°, γ = 60.00°
Closest atoms and distances in Å follow each position.
Sites, in units of the cell vectors:
1 Np 0.0000 0.0000 0.0000  8 Ga 3.00-3.36, 6 Zn 3.17
2 Zn 0.7419 0.7419 0.7743  3 Ga 2.57
3 Zn 0.2581 0.2581 0.2257  3 Ga 2.57
4 Ga 0.3965 0.3965 0.8105  3 Zn 2.57, 1 Cu 2.60
5 Ga 0.8665 0.8665 0.4004  3 Cu 2.68, 3 Zn 2.94
6 Ga 0.1335 0.1335 0.5996  3 Cu 2.68, 3 Zn 2.94
7 Ga 0.6035 0.6035 0.1895  3 Zn 2.57, 1 Cu 2.60
8 Cu 0.5000 0.5000 0.5000  8 Ga 2.60-2.68

Computed properties:
SG = R-3m
Raw total energy = -31.775 eV per cell

La2CePm3P6: optimized geometry, GGA-PBE.

a = 4.1735 Å, b = 8.3505 Å, c = 9.3221 Å
α = 102.89°, β = 102.94°, γ = 90.00°
Closest atoms and distances in Å follow each position.
Sites, in units of the cell vectors:
1 La 0.8337 0.6664 0.6673  6 P 2.98
2 La 0.1663 0.3336 0.3327  6 P 2.98
3 Ce 0.5000 0.0000 0.0000  6 P 2.91-2.92
4 Pm 0.5000 0.5000 0.0000  6 P 2.92-2.98
5 Pm 0.8328 0.1665 0.6655  6 P 2.92-2.98
6 Pm 0.1672 0.8335 0.3345  6 P 2.92-2.98
7 P 0.3358 0.9225 0.6716  1 Ce 2.91, 3 Pm 2.93-2.98, 2 La 2.98
8 P 0.6650 0.5873 0.3300  3 Pm 2.92, 3 La 2.98
9 P 0.6642 0.0775 0.3284  1 Ce 2.91, 3 Pm 2.93-2.98, 2 La 2.98
10 P 0.9981 0.2441 0.9963  2 Ce 2.92, 3 Pm 2.93-2.98, 1 La 2.98
11 P 0.0019 0.7559 0.0037  2 Ce 2.92, 3 Pm 2.93-2.98, 1 La 2.98
12 P 0.3350 0.4127 0.6700  3 Pm 2.92, 3 La 2.98

Computed properties:
SG = C2/m
Raw total energy = -81.197 eV per cell

Ho12ThCo6: optimized geometry, GGA-PBE.

a = 8.4138 Å, b = 8.4138 Å, c = 8.4138 Å
α = 109.47°, β = 109.47°, γ = 109.47°
Closest atoms and distances in Å follow each position.
Sites, in units of the cell vectors:
1 Ho 0.3076 0.1149 0.8073  3 Co 2.65-2.87
2 Ho 0.3076 0.5003 0.1927  3 Co 2.65-2.87
3 Ho 0.6924 0.4997 0.8073  3 Co 2.65-2.87
4 Ho 0.6924 0.8851 0.1927  3 Co 2.65-2.87
5 Ho 0.1149 0.8073 0.3076  3 Co 2.65-2.87
6 Ho 0.5003 0.1927 0.3076  3 Co 2.65-2.87
7 Ho 0.4997 0.8073 0.6924  3 Co 2.65-2.87
8 Ho 0.8851 0.1927 0.6924  3 Co 2.65-2.87
9 Ho 0.8073 0.3076 0.1149  3 Co 2.65-2.87
10 Ho 0.1927 0.3076 0.5003  3 Co 2.65-2.87
11 Ho 0.8073 0.6924 0.4997  3 Co 2.65-2.87
12 Ho 0.1927 0.6924 0.8851  3 Co 2.65-2.87
13 Th 0.0000 0.0000 0.0000  12 Ho 3.53
14 Co 0.3863 0.5000 0.8863  1 Co 2.21
15 Co 0.6137 0.5000 0.1137  1 Co 2.21
16 Co 0.5000 0.8863 0.3863  1 Co 2.21
17 Co 0.5000 0.1137 0.6137  1 Co 2.21
18 Co 0.8863 0.3863 0.5000  1 Co 2.21
19 Co 0.1137 0.6137 0.5000  1 Co 2.21

Computed properties:
SG = Im-3
Raw total energy = -107.441 eV per cell

Ac3PmIr3: optimized geometry, GGA-PBE.

a = 10.4339 Å, b = 10.4339 Å, c = 10.4339 Å
α = 109.47°, β = 109.47°, γ = 109.47°
Closest atoms and distances in Å follow each position.
Sites, in units of the cell vectors:
1 Ac 0.2588 0.0088 0.0176  4 Ir 2.91-3.00
2 Ac 0.7500 0.7412 0.7588  4 Ir 2.91-3.00
3 Ac 0.5176 0.7588 0.0088  4 Ir 2.91-3.00
4 Ac 0.9912 0.2500 0.0088  4 Ir 2.91-3.00
5 Ac 0.2412 0.7588 0.2500  4 Ir 2.91-3.00
6 Ac 0.5088 0.4912 0.2500  4 Ir 2.91-3.00
7 Ac 0.2588 0.2500 0.7412  4 Ir 2.91-3.00
8 Ac 0.2412 0.4824 0.4912  4 Ir 2.91-3.00
9 Ac 0.7500 0.0088 0.4912  4 Ir 2.91-3.00
10 Ac 0.9824 0.4912 0.7412  4 Ir 2.91-3.00
11 Ac 0.9912 0.7412 0.4824  4 Ir 2.91-3.00
12 Ac 0.5088 0.0176 0.7588  4 Ir 2.91-3.00
13 Pm 0.7500 0.5000 0.0000  6 Ir 3.02
14 Pm 0.5000 0.2500 0.5000  6 Ir 3.02
15 Pm 0.7500 0.2500 0.2500  6 Ir 3.02
16 Pm 0.0000 0.0000 0.2500  6 Ir 3.02
17 Ir 0.0020 0.5010 0.2510  4 Ac 2.91-3.00, 2 Pm 3.02
18 Ir 0.4990 0.9980 0.2490  4 Ac 2.91-3.00, 2 Pm 3.02
19 Ir 0.2500 0.9990 0.5010  4 Ac 2.91-3.00, 2 Pm 3.02
20 Ir 0.0010 0.7500 0.9990  4 Ac 2.91-3.00, 2 Pm 3.02
21 Ir 0.0010 0.2510 0.5020  4 Ac 2.91-3.00, 2 Pm 3.02
22 Ir 0.7490 0.9990 0.9980  4 Ac 2.91-3.00, 2 Pm 3.02
23 Ir 0.7510 0.5020 0.5010  4 Ac 2.91-3.00, 2 Pm 3.02
24 Ir 0.7490 0.7500 0.2510  4 Ac 2.91-3.00, 2 Pm 3.02
25 Ir 0.4980 0.2490 0.9990  4 Ac 2.91-3.00, 2 Pm 3.02
26 Ir 0.2500 0.2510 0.2490  4 Ac 2.91-3.00, 2 Pm 3.02
27 Ir 0.7510 0.2490 0.7500  4 Ac 2.91-3.00, 2 Pm 3.02
28 Ir 0.4990 0.5010 0.7500  4 Ac 2.91-3.00, 2 Pm 3.02

Computed properties:
SG = I4_132
Raw total energy = -189.986 eV per cell
Energy above the most stable polymorph in this dataset = 0.0 meV/atom

ZnGaPd3: optimized geometry, GGA-PBE.

a = 4.6055 Å, b = 4.6055 Å, c = 4.6055 Å
α = 90.00°, β = 90.00°, γ = 90.00°
Closest atoms and distances in Å follow each position.
Sites, in units of the cell vectors:
1 Zn 0.5000 0.5000 0.5000  12 Pd 3.26
2 Ga 0.0000 0.0000 0.0000  6 Pd 2.30
3 Pd 0.0000 0.5000 0.0000  2 Ga 2.30
4 Pd 0.0000 0.0000 0.5000  2 Ga 2.30
5 Pd 0.5000 0.0000 0.0000  2 Ga 2.30

Computed properties:
SG = Pm-3m
Raw total energy = -18.907 eV per cell
Energy above the most stable polymorph in this dataset = 717.6 meV/atom

BaSmAg2Te4: optimized geometry, GGA-PBE.

a = 7.5391 Å, b = 7.1256 Å, c = 7.1256 Å
α = 69.38°, β = 58.06°, γ = 58.06°
Closest atoms and distances in Å follow each position.
Sites, in units of the cell vectors:
1 Ba 0.0000 0.0000 0.0000  8 Te 3.57-3.64
2 Sm 0.5000 0.5000 0.5000  4 Te 3.04
3 Ag 0.1717 0.3283 0.3283  4 Te 2.78-3.03, 1 Ag 3.08
4 Ag 0.8283 0.6717 0.6717  4 Te 2.78-3.03, 1 Ag 3.08
5 Te 0.4794 0.0774 0.5211  2 Ag 2.78-3.03, 1 Sm 3.04
6 Te 0.0779 0.9226 0.4789  2 Ag 2.78-3.03, 1 Sm 3.04
7 Te 0.9221 0.5211 0.0774  2 Ag 2.78-3.03, 1 Sm 3.04
8 Te 0.5206 0.4789 0.9226  2 Ag 2.78-3.03, 1 Sm 3.04

Computed properties:
SG = I222
Raw total energy = -31.279 eV per cell
Energy relative to the elements, uncorrected = -0.7960 eV per atom

TbHf3Pd12: optimized geometry, GGA-PBE.

a = 4.0369 Å, b = 4.0369 Å, c = 16.1859 Å
α = 90.00°, β = 90.00°, γ = 90.00°
Closest atoms and distances in Å follow each position.
Sites, in units of the cell vectors:
1 Tb 0.0000 0.0000 0.0000  12 Pd 2.85-2.95
2 Hf 0.0000 0.0000 0.2508  12 Pd 2.78-2.88
3 Hf 0.0000 0.0000 0.5000  12 Pd 2.83-2.85
4 Hf 0.0000 0.0000 0.7492  12 Pd 2.78-2.88
5 Pd 0.5000 0.5000 0.0000  4 Tb 2.85, 8 Pd 2.95
6 Pd 0.5000 0.5000 0.2551  8 Pd 2.83, 4 Hf 2.86
7 Pd 0.5000 0.5000 0.5000  8 Pd 2.83, 4 Hf 2.85
8 Pd 0.5000 0.5000 0.7449  8 Pd 2.83, 4 Hf 2.86
9 Pd 0.5000 0.0000 0.1327  2 Hf 2.78, 8 Pd 2.83-2.95, 2 Tb 2.95
10 Pd 0.5000 0.0000 0.3774  8 Pd 2.83-2.85, 4 Hf 2.83-2.88
11 Pd 0.5000 0.0000 0.6226  8 Pd 2.83-2.85, 4 Hf 2.83-2.88
12 Pd 0.5000 0.0000 0.8673  2 Hf 2.78, 8 Pd 2.83-2.95, 2 Tb 2.95
13 Pd 0.0000 0.5000 0.1327  2 Hf 2.78, 8 Pd 2.83-2.95, 2 Tb 2.95
14 Pd 0.0000 0.5000 0.3774  8 Pd 2.83-2.85, 4 Hf 2.83-2.88
15 Pd 0.0000 0.5000 0.6226  8 Pd 2.83-2.85, 4 Hf 2.83-2.88
16 Pd 0.0000 0.5000 0.8673  2 Hf 2.78, 8 Pd 2.83-2.95, 2 Tb 2.95

Computed properties:
SG = P4/mmm
Raw total energy = -111.085 eV per cell

AcNd3Au2: optimized geometry, GGA-PBE.

a = 5.3699 Å, b = 9.5872 Å, c = 9.0571 Å
α = 122.93°, β = 90.00°, γ = 106.26°
Closest atoms and distances in Å follow each position.
Sites, in units of the cell vectors:
1 Ac 0.8690 0.7379 0.9373  5 Au 3.36-3.56, 3 Nd 3.66-3.69
2 Ac 0.1310 0.2621 0.0627  5 Au 3.36-3.56, 3 Nd 3.66-3.69
3 Nd 0.3021 0.6043 0.6092  2 Au 2.95-3.07, 2 Nd 3.24
4 Nd 0.9366 0.8733 0.5950  3 Au 3.21-3.24
5 Nd 0.6221 0.2443 0.7335  3 Au 2.95-3.07
6 Nd 0.3779 0.7557 0.2665  3 Au 2.95-3.07
7 Nd 0.0634 0.1267 0.4050  3 Au 3.21-3.24
8 Nd 0.6979 0.3957 0.3908  2 Au 2.95-3.07, 2 Nd 3.24
9 Au 0.4963 0.9926 0.8372  1 Au 2.87, 2 Nd 2.95
10 Au 0.5037 0.0074 0.1628  1 Au 2.87, 2 Nd 2.95
11 Au 0.7807 0.5613 0.1763  5 Nd 3.07-3.37, 1 Ac 3.36
12 Au 0.2193 0.4387 0.8237  5 Nd 3.07-3.37, 1 Ac 3.36

Computed properties:
SG = C2/m
Raw total energy = -55.500 eV per cell
Energy above the most stable polymorph in this dataset = 61.0 meV/atom

Ac8Al2In: optimized geometry, GGA-PBE.

a = 5.4525 Å, b = 9.5004 Å, c = 9.6929 Å
α = 119.35°, β = 106.34°, γ = 90.00°
Closest atoms and distances in Å follow each position.
Sites, in units of the cell vectors:
1 Ac 0.6601 0.8806 0.3202  3 Al 3.48-3.54, 1 In 3.69, 5 Ac 3.76-3.81
2 Ac 0.3399 0.5604 0.6798  3 Al 3.48-3.54, 1 In 3.69, 5 Ac 3.76-3.81
3 Ac 0.1449 0.1449 0.2898  2 In 3.58, 8 Ac 3.76-3.81, 2 Al 3.76
4 Ac 0.0000 0.3181 0.0000  7 Ac 3.46-3.81, 2 Al 3.54
5 Ac 0.8551 0.8551 0.7102  2 In 3.58, 8 Ac 3.76-3.81, 2 Al 3.76
6 Ac 0.6601 0.4396 0.3202  3 Al 3.48-3.54, 1 In 3.69, 5 Ac 3.76-3.81
7 Ac 0.3399 0.1194 0.6798  3 Al 3.48-3.54, 1 In 3.69, 5 Ac 3.76-3.81
8 Ac 0.0000 0.6819 0.0000  7 Ac 3.46-3.81, 2 Al 3.54
9 Al 0.1931 0.6931 0.3861  10 Ac 3.48-3.76
10 Al 0.8069 0.3069 0.6139  10 Ac 3.48-3.76
11 In 0.5000 0.0000 0.0000  8 Ac 3.58-3.69

Computed properties:
SG = Immm
Raw total energy = -43.965 eV per cell
Energy above the most stable polymorph in this dataset = 46.0 meV/atom

no.,size of the total moment (μB/cell)
1,0.0
2,0.0
3,8.5
4,4.1
5,0.5
6,0.0
7,0.0
8,0.0
9,0.0
10,0.0
11,0.0
12,0.0